This record from Alexandria describes an optimized crystal structure of KAl2Pt. The functional is PBE.

Calculated values
M_tot = 0.00 μB per cell
Volume = 23.8 A^3/atom
Formation enthalpy at 0 K = 0.004 eV per atom
Electronic total energy = -3.652 eV/atom

Structure (extended XYZ):
```
4
Lattice="-1.754 0.357 -4.338 -2.969 -2.642 2.495 2.481 6.020 3.083" Properties=species:S:1:pos:R:3 pbc="T T T"
Pt -0.931 2.337 -0.449
K -2.390 -1.214 -0.759
Al -1.341 1.324 1.860
Al -2.910 -2.496 2.162
```